PuZr2Ti4: optimized geometry, PBE.

**Energy of formation from the pure elements**: 0.170 eV/atom
**Magnetic moment**: 0.025 μB/f.u.
**Symmetry**: P1, No. 1

Unit cell a=9.8891 b=6.1373 c=7.7630 alpha=119.00 beta=129.71 gamma=90.53
Closest atoms and distances in Å follow each position.
Element x y z (fractional)
Pu: 0.2154 0.7652 0.6464  4 Ti 2.68-2.95, 1 Zr 2.88
Pu: 0.8528 0.0312 0.9198  4 Ti 2.72-2.96, 1 Zr 3.02
Ti: 0.0119 0.1223 0.7617  2 Ti 2.57-2.62, 1 Pu 2.72
Ti: 0.7686 0.1259 0.2464  2 Ti 2.57-2.59
Ti: 0.0330 0.6206 0.7487  2 Ti 2.57-2.58, 1 Pu 2.68
Ti: 0.2449 0.6376 0.2566  2 Ti 2.57-2.62
Ti: 0.2644 0.1191 0.2471  2 Ti 2.58-2.60
Ti: 0.7969 0.6439 0.2555  2 Ti 2.57-2.63
Ti: 0.5353 0.1234 0.7599  2 Ti 2.57-2.63, 1 Pu 2.73
Ti: 0.5008 0.6218 0.7490  2 Ti 2.59-2.60, 1 Pu 2.69
Zr: 0.5112 0.8643 0.2364  6 Ti 2.93-3.25, 3 Zr 2.96-3.22, 1 Pu 3.17
Zr: 0.5158 0.3868 0.2452  3 Zr 2.96-3.21, 4 Ti 2.98-3.13, 1 Pu 3.15
Zr: 0.1816 0.1896 0.5780  1 Pu 2.88, 6 Ti 2.94-3.17
Zr: 0.8176 0.4984 0.8493  6 Ti 2.89-3.12, 2 Pu 3.02-3.15, 2 Zr 3.21-3.22